This record from Alexandria describes a geometry-optimized LaSmCu structure. The functional is PBE.

Lattice parameters (Å, degrees): 3.6321 3.6321 12.6190 90.00 90.00 90.00
Last column: nearest neighbours and their distance in Å.
Space group I4mm (No. 107)
Unique sites:
La 0.0000 0.0000 0.0000 (multiplicity 2)  4 Cu 3.19, 1 Sm 3.48
Sm 0.0000 0.0000 0.7244 (multiplicity 2)  4 Cu 3.02
Cu 0.0000 0.0000 0.3499 (multiplicity 2)  4 Sm 3.02, 4 La 3.19

## Properties
- total moment (μB/f.u.) = 0.0
- polymorph energy (0 for the lowest one) (eV/atom) = 0.019
- mass density (g cm⁻³) = 7.039
- E_tot (eV per cell) = -27.95
- D(E_F) (states/eV/cell) = 8.0
- energy of formation from the pure elements (meV per atom) = -78

This record from Alexandria describes a geometry-optimized BaCuSe2Br structure. The functional is PBE.

Lattice parameters (Å, degrees): 4.8338 4.8338 5.6985 90.00 90.00 90.00
Last column: nearest neighbours and their distance in Å.
Space group P4/mmm (No. 123)
Unique sites:
Ba 0.0000 0.0000 0.0000 (multiplicity 1)  4 Br 3.42, 8 Se 3.74
Cu 0.5000 0.5000 0.5000 (multiplicity 1)  4 Se 2.42
Se 0.0000 0.5000 0.5000 (multiplicity 2)  2 Cu 2.42
Br 0.5000 0.5000 0.0000 (multiplicity 1)  2 Cu 2.85

## Properties
- total moment (μB/f.u.) = 0.0
- polymorph energy (0 for the lowest one) (eV/atom) = 0.000
- mass density (g cm⁻³) = 5.471
- E_tot (eV per cell) = -19.19
- D(E_F) (states/eV/cell) = 2.5
- ΔE_f (raw) (eV/atom) = -0.91